An optimized crystal structure of Mg3CrF, computed with PBE with a Hubbard U.

The volume comes out at 92.28 Å³/f.u. The calculation puts the magnetic moment at 0.88 μB/atom. Its distance to the lowest polymorph of the same formula is 0.000 eV per atom.

```
data_Mg3CrF
_chemical_formula_sum 'Mg3 Cr1 F1'
_cell_length_a 4.519
_cell_length_b 4.519
_cell_length_c 4.519
_cell_angle_alpha 90.00
_cell_angle_beta 90.00
_cell_angle_gamma 90.00
_space_group_name_H-M_alt 'P 1'
_space_group_IT_number 1
_space_group_name_Hall 'P 1'
loop_
_atom_site_label
_atom_site_type_symbol
_atom_site_fract_x
_atom_site_fract_y
_atom_site_fract_z
_atom_site_occupancy
Mg1 Mg 0.000 0.000 0.500 1
Mg2 Mg 0.000 0.500 0.000 1
Mg3 Mg 0.500 0.000 0.000 1
Cr1 Cr 0.500 0.500 0.500 1
F1 F 0.000 0.000 0.000 1
```